First-principles (PBE) data for a relaxed structure of Ce3Nd3TmTe8, as listed in Alexandria via LeMat-Bulk.

The structure in CIF format:
```
data_Ce3Nd3TmTe8
_cell_length_a 8.937
_cell_length_b 8.937
_cell_length_c 8.977
_cell_angle_alpha 119.85
_cell_angle_beta 90.00
_cell_angle_gamma 120.00
_space_group_name_H-M_alt 'P 1'
_space_group_IT_number 1
loop_
_space_group_symop_operation_xyz
'x,y,z'
loop_
_atom_site_label
_atom_site_type_symbol
_atom_site_fract_x
_atom_site_fract_y
_atom_site_fract_z
Ce1 Ce 0.000 0.000 0.000
Ce2 Ce 0.000 0.500 0.000
Ce3 Ce 0.500 0.500 0.000
Nd1 Nd 0.500 0.000 0.500
Nd2 Nd 0.500 0.500 0.500
Nd3 Nd 0.000 0.500 0.500
Tm1 Tm 0.000 0.000 0.500
Te1 Te 0.250 0.500 0.250
Te2 Te 0.750 0.500 0.750
Te3 Te 0.754 0.508 0.254
Te4 Te 0.246 0.492 0.746
Te5 Te 0.754 0.000 0.254
Te6 Te 0.246 0.000 0.746
Te7 Te 0.246 0.000 0.254
Te8 Te 0.754 0.000 0.746
```

First-principles (PBE) data for a relaxed structure of CeNd3Tm2Te6, as listed in Alexandria via LeMat-Bulk.

The structure in CIF format:
```
data_CeNd3Tm2Te6
_cell_length_a 4.381
_cell_length_b 8.972
_cell_length_c 9.934
_cell_angle_alpha 103.50
_cell_angle_beta 102.74
_cell_angle_gamma 90.00
_space_group_name_H-M_alt 'P 1'
_space_group_IT_number 1
loop_
_space_group_symop_operation_xyz
'x,y,z'
loop_
_atom_site_label
_atom_site_type_symbol
_atom_site_fract_x
_atom_site_fract_y
_atom_site_fract_z
Ce1 Ce 0.500 0.000 0.000
Nd1 Nd 0.500 0.500 0.000
Nd2 Nd 0.839 0.167 0.678
Nd3 Nd 0.161 0.833 0.322
Tm1 Tm 0.835 0.670 0.670
Tm2 Tm 0.165 0.330 0.330
Te1 Te 0.331 0.904 0.661
Te2 Te 0.671 0.574 0.343
Te3 Te 0.669 0.096 0.339
Te4 Te 0.006 0.253 0.012
Te5 Te 0.994 0.747 0.988
Te6 Te 0.329 0.426 0.657
```

First-principles (PBE) data for a relaxed structure of Ce2NdTmTe5, as listed in Alexandria via LeMat-Bulk.

The structure in CIF format:
```
data_Ce2NdTmTe5
_cell_length_a 5.457
_cell_length_b 5.457
_cell_length_c 11.754
_cell_angle_alpha 90.00
_cell_angle_beta 90.00
_cell_angle_gamma 90.00
_space_group_name_H-M_alt 'P 1'
_space_group_IT_number 1
loop_
_space_group_symop_operation_xyz
'x,y,z'
loop_
_atom_site_label
_atom_site_type_symbol
_atom_site_fract_x
_atom_site_fract_y
_atom_site_fract_z
Ce1 Ce 0.500 0.500 0.321
Ce2 Ce 0.500 0.500 0.679
Nd1 Nd 0.000 0.000 0.000
Tm1 Tm 0.000 0.000 0.500
Te1 Te 0.000 0.500 0.500
Te2 Te 0.500 0.000 0.500
Te3 Te 0.000 0.000 0.750
Te4 Te 0.000 0.000 0.250
Te5 Te 0.500 0.500 0.000
```

Formation energy from raw total energies for the records above, in order: -1.411, -1.337, -0.870 eV/atom